Record 1
A geometry-optimized NaTlHgSb structure, computed with GGA-PBE.

Geometry as POSCAR:
```
NaTlHgSb
1.0
-4.743 0.062 0.258
0.232 -4.027 5.224
0.154 2.823 2.144
Na Tl Sb Hg
1 1 1 1
Direct
0.000 0.931 0.133 Na
0.000 0.429 0.125 Tl
0.500 0.171 0.633 Sb
0.500 0.683 0.630 Hg
```

The calculation puts the uncorrected formation energy at -115 meV/atom. Its space-group type is Pm, No. 6. For the volume, the calculation gives 27.812 Å³/atom. The calculation puts the calculated total energy at -2.143 eV/atom. The calculation puts the energy above the most stable polymorph in this dataset at 0.0 meV per atom. The calculated density is 8.21 g cm⁻³.


Record 2
A geometry-optimized Na2S6F structure, computed with GGA-PBE.

Geometry as POSCAR:
```
Na2S6F
1.0
-2.065 -3.147 0.728
7.272 -1.409 -3.800
6.689 0.977 4.859
S Na F
6 2 1
Direct
0.760 0.535 0.156 S
0.007 0.332 0.332 S
0.240 0.465 0.844 S
0.993 0.668 0.668 S
0.240 0.844 0.465 S
0.760 0.156 0.535 S
0.500 0.161 0.839 Na
0.500 0.839 0.161 Na
0.000 0.000 0.000 F
```

The calculation puts the uncorrected formation energy at -610 meV/atom. Its space-group type is C2/m, No. 12. For the volume, the calculation gives 23.302 Å³/atom. The calculation puts the calculated total energy at -3.862 eV/atom. The calculated density is 2.04 g cm⁻³.


Record 3
A geometry-optimized AcLaCuGe structure, computed with GGA-PBE.

Geometry as POSCAR:
```
AcLaCuGe
1.0
5.352 0.000 0.000
2.676 4.635 0.000
2.676 1.545 4.370
Ge La Ac Cu
1 1 1 1
Direct
0.250 0.250 0.250 Ge
0.500 0.500 0.500 La
0.000 0.000 0.000 Ac
0.750 0.750 0.750 Cu
```

Its space-group type is F-43m, No. 216. For the volume, the calculation gives 27.098 Å³/atom. As for the formation energy: -406 meV/atom. The calculation puts the calculated total energy at -4.843 eV/atom. The calculated density is 7.69 g cm⁻³.


Record 4
A geometry-optimized Hf5NbSb3 structure, computed with GGA-PBE.

Geometry as POSCAR:
```
Hf5NbSb3
1.0
7.555 0.454 -0.018
2.504 7.142 -0.018
2.966 2.239 9.204
Hf Sb Nb
10 6 2
Direct
0.314 0.931 0.204 Hf
0.718 0.718 0.068 Hf
0.686 0.069 0.796 Hf
0.328 0.672 0.000 Hf
0.931 0.314 0.204 Hf
0.282 0.282 0.932 Hf
0.487 0.487 0.315 Hf
0.513 0.513 0.685 Hf
0.672 0.328 0.000 Hf
0.069 0.686 0.796 Hf
0.683 0.683 0.384 Sb
0.000 0.000 0.000 Sb
0.000 0.000 0.500 Sb
0.307 0.307 0.220 Sb
0.693 0.693 0.780 Sb
0.317 0.317 0.616 Sb
0.918 0.918 0.289 Nb
0.082 0.082 0.711 Nb
```

The calculation puts the uncorrected formation energy at 150 meV/atom. Its space-group type is C2/m, No. 12. For the volume, the calculation gives 27.037 Å³/atom. The calculation puts the calculated total energy at -7.873 eV/atom. The calculated density is 9.22 g cm⁻³.


Record 5
A geometry-optimized CsHg2H6 structure, computed with GGA-PBE.

Geometry as POSCAR:
```
CsHg2H6
1.0
9.872 0.000 2.696
4.936 3.157 1.348
3.186 0.000 7.343
Hg H Cs
2 6 1
Direct
0.250 0.499 0.500 Hg
0.750 0.501 0.500 Hg
0.528 0.000 0.939 H
0.531 0.501 0.938 H
0.472 0.000 0.061 H
0.469 0.499 0.062 H
0.969 0.501 0.062 H
0.031 0.499 0.938 H
0.000 0.000 0.000 Cs
```

Its space-group type is C2/m, No. 12. For the volume, the calculation gives 22.413 Å³/atom. The calculation puts the calculated total energy at -2.448 eV/atom. The calculated density is 4.45 g cm⁻³.


Record 6
A geometry-optimized Li3Sm2Se4 structure, computed with GGA-PBE.

Geometry as POSCAR:
```
Li3Sm2Se4
1.0
4.126 -0.004 0.024
-2.067 3.571 -0.024
0.077 -0.045 14.382
Se Sm Li
4 2 3
Direct
0.663 0.337 0.108 Se
0.337 0.663 0.892 Se
0.990 0.010 0.354 Se
0.010 0.990 0.646 Se
0.326 0.674 0.224 Sm
0.674 0.326 0.776 Sm
0.656 0.344 0.407 Li
0.000 0.000 0.000 Li
0.344 0.656 0.593 Li
```

The calculation puts the uncorrected formation energy at -1487 meV/atom. Its space-group type is C2/m, No. 12. For the volume, the calculation gives 23.528 Å³/atom. The calculation puts the calculated total energy at -4.722 eV/atom. The calculated density is 5.00 g cm⁻³.


Record 7
A geometry-optimized HgIBr2 structure, computed with GGA-PBE.

Geometry as POSCAR:
```
HgIBr2
1.0
4.102 -0.530 0.000
-2.861 8.034 0.000
0.000 0.000 9.769
Hg Br I
2 4 2
Direct
0.123 0.361 0.250 Hg
0.877 0.639 0.750 Hg
0.470 0.737 0.565 Br
0.530 0.263 0.435 Br
0.470 0.737 0.935 Br
0.530 0.263 0.065 Br
0.470 0.739 0.250 I
0.530 0.261 0.750 I
```

The calculation puts the uncorrected formation energy at -165 meV/atom. Its space-group type is P2_1/m, No. 11. For the volume, the calculation gives 38.395 Å³/atom. The calculation puts the calculated total energy at -1.465 eV/atom. The calculation puts the energy above the most stable polymorph in this dataset at 46.7 meV per atom. The calculated density is 5.27 g cm⁻³.